1.
This record from Alexandria describes a relaxed structure of InGePb2Au6. The functional is PBE.

Results
M_tot: 0.000 μB/cell
calculated formation energy: -30 meV per atom

Cell lengths 5.6733, 9.1329, 9.2177 Å; angles 90.00, 90.00, 90.00 degrees
Space group Pmmn (No. 59, origin choice 2)
Asymmetric unit:
In: 0.2500 0.2500 0.2242 (multiplicity 2)
Ge: 0.2500 0.7500 0.2571 (multiplicity 2)
Pb: 0.2500 0.5081 0.7842 (multiplicity 4)
Au: 0.0007 0.2500 0.9725 (multiplicity 4)
Au: 0.0026 0.2500 0.4925 (multiplicity 4)
Au: 0.2500 0.5038 0.3922 (multiplicity 4)

2.
This record from Alexandria describes a relaxed structure of PuZn3O6. The functional is PBE.

Results
formation energy from raw total energies: -1.744 eV per atom
M_tot: 12.000 μB/cell

Cell lengths 8.8665, 8.8665, 10.9731 Å; angles 90.00, 90.00, 120.00 degrees
Space group R-3 (No. 148, hexagonal axes)
Asymmetric unit:
Pu: 0.0000 0.0000 0.0000 (multiplicity 3)
Pu: 0.0000 0.0000 0.5000 (multiplicity 3)
Zn: 0.0364 0.7787 0.2154 (multiplicity 18)
O: 0.0111 0.8197 0.8768 (multiplicity 18)
O: 0.0336 0.8309 0.3947 (multiplicity 18)

3.
This record from Alexandria describes a relaxed structure of Pm3EuIr. The functional is PBE.

Results
M_tot: 7.603 μB/cell
calculated formation energy: -257 meV per atom

Cell lengths 5.6361, 5.6361, 5.6361 Å; angles 90.00, 90.00, 90.00 degrees
Space group Pm-3m (No. 221)
Asymmetric unit:
Pm: 0.0000 0.0000 0.5000 (multiplicity 3)
Eu: 0.5000 0.5000 0.5000 (multiplicity 1)
Ir: 0.0000 0.0000 0.0000 (multiplicity 1)

4.
This record from Alexandria describes a relaxed structure of Tm2ThB6. The functional is PBE.

Results
M_tot: 0.000 μB/cell
calculated formation energy: -542 meV per atom

Cell lengths 5.6925, 5.6925, 3.9357 Å; angles 90.00, 90.00, 120.00 degrees
Space group P6/mmm (No. 191)
Asymmetric unit:
Tm: 0.3333 0.6667 0.0000 (multiplicity 2)
Th: 0.0000 0.0000 0.0000 (multiplicity 1)
B: 0.0000 0.3400 0.5000 (multiplicity 6)

5.
This record from Alexandria describes a relaxed structure of Cr2CuTc. The functional is PBE.

Results
M_tot: 2.537 μB/cell
calculated formation energy: 248 meV per atom

Cell lengths 3.0355, 3.0355, 5.5733 Å; angles 90.00, 90.00, 90.00 degrees
Space group P4/mmm (No. 123)
Asymmetric unit:
Cr: 0.0000 0.0000 0.2462 (multiplicity 2)
Cu: 0.5000 0.5000 0.0000 (multiplicity 1)
Tc: 0.5000 0.5000 0.5000 (multiplicity 1)

6.
This record from Alexandria describes a relaxed structure of Te2IrOsN. The functional is PBE.

Results
energy above the lowest structure with this stoichiometry: 0.00 kJ per mole of atoms
formation energy from raw total energies: 0.789 eV per atom
M_tot: 0.000 μB/cell

Cell lengths 5.2903, 5.2903, 3.6074 Å; angles 90.00, 90.00, 90.00 degrees
Space group P4/mmm (No. 123)
Asymmetric unit:
Te: 0.0000 0.5000 0.0000 (multiplicity 2)
Ir: 0.0000 0.0000 0.5000 (multiplicity 1)
Os: 0.5000 0.5000 0.0000 (multiplicity 1)
N: 0.5000 0.5000 0.5000 (multiplicity 1)

7.
This record from Alexandria describes a relaxed structure of Ni2BiS. The functional is PBE.

Results
energy above the lowest structure with this stoichiometry: 22.08 kJ per mole of atoms
formation energy from raw total energies: -0.013 eV per atom
M_tot: 0.000 μB/cell

Cell lengths 3.6966, 3.6966, 17.0834 Å; angles 90.00, 90.00, 120.00 degrees
Space group R3m (No. 160, hexagonal axes)
Asymmetric unit:
Ni: 0.0000 0.0000 0.0000 (multiplicity 3)
Ni: 0.0000 0.0000 0.2397 (multiplicity 3)
Bi: 0.0000 0.0000 0.4549 (multiplicity 3)
S: 0.0000 0.0000 0.6279 (multiplicity 3)

8.
This record from Alexandria describes a relaxed structure of AcTb2Eu. The functional is PBE.

Results
energy above the lowest structure with this stoichiometry: 2.05 kJ per mole of atoms
M_tot: 7.280 μB/cell
calculated formation energy: 96 meV per atom

Cell lengths 5.2764, 5.2764, 5.2884 Å; angles 90.00, 90.00, 90.00 degrees
Space group P4/mmm (No. 123)
Asymmetric unit:
Ac: 0.0000 0.0000 0.0000 (multiplicity 1)
Tb: 0.0000 0.5000 0.5000 (multiplicity 2)
Eu: 0.5000 0.5000 0.0000 (multiplicity 1)

9.
This record from Alexandria describes a relaxed structure of Zn3Os. The functional is PBE.

Results
M_tot: 0.000 μB/cell
calculated formation energy: 228 meV per atom

Cell lengths 6.0946, 6.0946, 6.0946 Å; angles 90.00, 90.00, 90.00 degrees
Space group Fm-3m (No. 225)
Asymmetric unit:
Zn: 0.0000 0.0000 0.0000 (multiplicity 4)
Zn: 0.2500 0.2500 0.2500 (multiplicity 8)
Os: 0.0000 0.0000 0.5000 (multiplicity 4)

10.
This record from Alexandria describes a relaxed structure of KTaBr. The functional is PBE.

Results
energy above the lowest structure with this stoichiometry: 13.03 kJ per mole of atoms
formation energy from raw total energies: 0.543 eV per atom
M_tot: 1.384 μB/cell

Cell lengths 3.2121, 3.2121, 14.5324 Å; angles 90.00, 90.00, 90.00 degrees
Space group I4mm (No. 107)
Asymmetric unit:
K: 0.0000 0.0000 0.0000 (multiplicity 2)
Ta: 0.0000 0.0000 0.7020 (multiplicity 2)
Br: 0.0000 0.0000 0.3192 (multiplicity 2)

11.
This record from Alexandria describes a relaxed structure of PmPHPd. The functional is PBE.

Results
M_tot: 0.000 μB/cell
energy: -5.632 eV per atom

Cell lengths 4.2475, 4.2475, 3.9196 Å; angles 90.00, 90.00, 120.00 degrees
Space group P3m1 (No. 156)
Asymmetric unit:
Pm: 0.0000 0.0000 0.0000 (multiplicity 1)
P: 0.3333 0.6667 0.4983 (multiplicity 1)
H: 0.6667 0.3333 0.9992 (multiplicity 1)
Pd: 0.6667 0.3333 0.5010 (multiplicity 1)

12.
This record from Alexandria describes a relaxed structure of SiSb2Au. The functional is PBE.

Results
formation energy from raw total energies: 0.095 eV per atom
M_tot: 0.000 μB/cell

Cell lengths 6.2479, 6.2479, 11.9668 Å; angles 90.00, 90.00, 90.00 degrees
Space group I-42d (No. 122)
Asymmetric unit:
Si: 0.0000 0.0000 0.0000 (multiplicity 4)
Sb: 0.2427 0.2500 0.1250 (multiplicity 8)
Au: 0.0000 0.0000 0.5000 (multiplicity 4)